The following is a DFT calculation (GGA-PBEsol) of a relaxed structure of CuCSN.

It has space group P6_3mc (No. 186), with a = 3.7425 Å, b = 3.7425 Å, c = 10.8565 Å, α = 90.00°, β = 90.00° and γ = 120.00°. The inequivalent atoms are Cu at (0.3333, 0.6667, 0.0000), C at (0.3333, 0.6667, 0.7204), S at (0.3333, 0.6667, 0.5677) and N at (0.3333, 0.6667, 0.8287).

Its volume is 131.7 Å³/cell. As for the crystal system: hexagonal. The uncorrected formation energy is 15.2 kJ per mole of atoms. For the total energy, the calculation gives -6.565 eV per atom.



The following is a DFT calculation (GGA-PBEsol) of a relaxed structure of MgNiSn3.

It has space group Pm-3m (No. 221), with a = 4.9463 Å, b = 4.9463 Å, c = 4.9463 Å, α = 90.00°, β = 90.00° and γ = 90.00°. The inequivalent atoms are Mg at (0.0000, 0.0000, 0.0000), Ni at (0.5000, 0.5000, 0.5000) and Sn at (0.0000, 0.5000, 0.5000).

Its volume is 121.0 Å³/cell. As for the crystal system: cubic. The value obtained for the formation energy is 0.06 eV/atom. For the total energy, the calculation gives -4.072 eV per atom.



The following is a DFT calculation (GGA-PBEsol) of a relaxed structure of NbPICl2.

It has space group P4/mmm (No. 123), with a = 5.1820 Å, b = 5.1820 Å, c = 5.2105 Å, α = 90.00°, β = 90.00° and γ = 90.00°. The inequivalent atoms are Nb at (0.0000, 0.0000, 0.0000), P at (0.5000, 0.5000, 0.0000), I at (0.5000, 0.5000, 0.5000) and Cl at (0.0000, 0.5000, 0.5000).

Its volume is 139.9 Å³/cell. As for the crystal system: tetragonal. The uncorrected formation energy is 127.1 kJ per mole of atoms. For the total energy, the calculation gives -3.162 eV per atom.



The following is a DFT calculation (GGA-PBEsol) of a relaxed structure of Li3GeSe.

It has space group Pm-3m (No. 221), with a = 4.6900 Å, b = 4.6900 Å, c = 4.6900 Å, α = 90.00°, β = 90.00° and γ = 90.00°. The inequivalent atoms are Li at (0.0000, 0.0000, 0.5000), Ge at (0.5000, 0.5000, 0.5000) and Se at (0.0000, 0.0000, 0.0000).

Its volume is 103.2 Å³/cell. As for the crystal system: cubic. The uncorrected formation energy is -31.9 kJ per mole of atoms. For the total energy, the calculation gives -3.268 eV per atom.